(1)
A crystal of Li4Mn3Ni2Sn3O16 relaxed with PBEsol, computed with meta-GGA SCAN.

Computed properties:
Raw formation energy: -53.6 eV/f.u.

The structure in CIF format:
```
data_Li4Mn3Ni2Sn3O16
_chemical_formula_sum 'Li4 Mn3 Ni2 Sn3 O16'
_cell_length_a 5.949
_cell_length_b 5.949
_cell_length_c 9.499
_cell_angle_alpha 90.11
_cell_angle_beta 90.11
_cell_angle_gamma 59.87
_space_group_name_H-M_alt 'P 1'
_space_group_IT_number 1
_space_group_name_Hall 'P 1'
loop_
_atom_site_label
_atom_site_type_symbol
_atom_site_fract_x
_atom_site_fract_y
_atom_site_fract_z
Li1 Li 0.000 0.000 0.000
Li2 Li 0.013 0.013 0.508
Li3 Li 0.308 0.308 0.618
Li4 Li 0.644 0.644 0.108
Mn1 Mn 0.153 0.153 0.284
Mn2 Mn 0.321 0.812 0.788
Mn3 Mn 0.812 0.321 0.788
Ni1 Ni 0.317 0.317 0.007
Ni2 Ni 0.647 0.647 0.518
Sn1 Sn 0.151 0.645 0.289
Sn2 Sn 0.645 0.151 0.289
Sn3 Sn 0.813 0.813 0.789
O1 O 0.018 0.450 0.163
O2 O 0.146 0.146 0.889
O3 O 0.156 0.668 0.902
O4 O 0.304 0.304 0.405
O5 O 0.315 0.837 0.396
O6 O 0.450 0.018 0.163
O7 O 0.464 0.464 0.157
O8 O 0.484 0.940 0.666
O9 O 0.499 0.499 0.676
O10 O 0.637 0.637 0.897
O11 O 0.668 0.156 0.902
O12 O 0.829 0.829 0.416
O13 O 0.837 0.315 0.396
O14 O 0.940 0.484 0.666
O15 O 0.992 0.992 0.691
O16 O 0.994 0.994 0.184
```



(2)
A crystal of Li4Mn3Ni3Te2O16 relaxed with PBEsol, computed with meta-GGA SCAN.

Computed properties:
Fermi-level density of states: 0.27 states/eV per atom
Raw formation energy: -49.3 eV/f.u.

The structure in CIF format:
```
data_Li4Mn3Ni3Te2O16
_chemical_formula_sum 'Li4 Mn3 Ni3 Te2 O16'
_cell_length_a 5.843
_cell_length_b 5.843
_cell_length_c 9.704
_cell_angle_alpha 91.33
_cell_angle_beta 91.33
_cell_angle_gamma 58.85
_space_group_name_H-M_alt 'P 1'
_space_group_IT_number 1
_space_group_name_Hall 'P 1'
loop_
_atom_site_label
_atom_site_type_symbol
_atom_site_fract_x
_atom_site_fract_y
_atom_site_fract_z
Li1 Li 0.000 0.000 0.000
Li2 Li 0.001 0.001 0.492
Li3 Li 0.331 0.331 0.910
Li4 Li 0.660 0.660 0.407
Mn1 Mn 0.174 0.174 0.220
Mn2 Mn 0.333 0.831 0.722
Mn3 Mn 0.831 0.333 0.722
Ni1 Ni 0.168 0.662 0.217
Ni2 Ni 0.662 0.168 0.217
Ni3 Ni 0.826 0.826 0.719
Te1 Te 0.339 0.339 0.492
Te2 Te 0.669 0.669 0.996
O1 O 0.001 0.001 0.815
O2 O 0.006 0.006 0.303
O3 O 0.023 0.476 0.336
O4 O 0.149 0.149 0.620
O5 O 0.166 0.687 0.603
O6 O 0.326 0.841 0.105
O7 O 0.328 0.328 0.116
O8 O 0.476 0.023 0.336
O9 O 0.479 0.479 0.351
O10 O 0.496 0.966 0.843
O11 O 0.513 0.513 0.838
O12 O 0.653 0.653 0.618
O13 O 0.687 0.166 0.603
O14 O 0.841 0.326 0.105
O15 O 0.841 0.841 0.097
O16 O 0.966 0.496 0.843
```



(3)
A crystal of Li2Ti2MnNiO8 relaxed with PBEsol, computed with meta-GGA SCAN.

Computed properties:
Raw formation energy: -36.3 eV/f.u.

The structure in CIF format:
```
data_Li2Ti2MnNiO8
_chemical_formula_sum 'Li2 Ti2 Mn1 Ni1 O8'
_cell_length_a 5.802
_cell_length_b 5.802
_cell_length_c 5.815
_cell_angle_alpha 119.71
_cell_angle_beta 119.71
_cell_angle_gamma 61.03
_space_group_name_H-M_alt 'P 1'
_space_group_IT_number 1
_space_group_name_Hall 'P 1'
loop_
_atom_site_label
_atom_site_type_symbol
_atom_site_fract_x
_atom_site_fract_y
_atom_site_fract_z
Li1 Li 0.124 0.124 0.365
Li2 Li 0.876 0.876 0.635
Ti1 Ti 0.000 0.500 0.000
Ti2 Ti 0.500 0.000 0.000
Mn1 Mn 0.500 0.500 0.000
Ni1 Ni 0.500 0.500 0.500
O1 O 0.251 0.251 0.218
O2 O 0.263 0.263 0.782
O3 O 0.265 0.712 0.224
O4 O 0.288 0.735 0.776
O5 O 0.712 0.265 0.224
O6 O 0.735 0.288 0.776
O7 O 0.737 0.737 0.218
O8 O 0.749 0.749 0.782
```



(4)
A crystal of Li4Ti3Mn3Ni2O16 relaxed with PBEsol, computed with meta-GGA SCAN.

Computed properties:
Raw formation energy: -68.4 eV/f.u.

The structure in CIF format:
```
data_Li4Ti3Mn3Ni2O16
_chemical_formula_sum 'Li4 Ti3 Mn3 Ni2 O16'
_cell_length_a 5.736
_cell_length_b 5.736
_cell_length_c 9.462
_cell_angle_alpha 90.36
_cell_angle_beta 90.36
_cell_angle_gamma 60.33
_space_group_name_H-M_alt 'P 1'
_space_group_IT_number 1
_space_group_name_Hall 'P 1'
loop_
_atom_site_label
_atom_site_type_symbol
_atom_site_fract_x
_atom_site_fract_y
_atom_site_fract_z
Li1 Li 0.000 0.000 0.000
Li2 Li 0.000 0.000 0.498
Li3 Li 0.319 0.319 0.107
Li4 Li 0.652 0.652 0.603
Ti1 Ti 0.156 0.650 0.783
Ti2 Ti 0.650 0.156 0.783
Ti3 Ti 0.819 0.819 0.285
Mn1 Mn 0.158 0.158 0.782
Mn2 Mn 0.326 0.821 0.282
Mn3 Mn 0.821 0.326 0.282
Ni1 Ni 0.323 0.323 0.507
Ni2 Ni 0.655 0.655 0.011
O1 O 0.025 0.464 0.661
O2 O 0.154 0.154 0.386
O3 O 0.155 0.668 0.392
O4 O 0.316 0.834 0.890
O5 O 0.321 0.321 0.895
O6 O 0.464 0.025 0.661
O7 O 0.470 0.470 0.663
O8 O 0.502 0.950 0.163
O9 O 0.507 0.507 0.165
O10 O 0.651 0.651 0.392
O11 O 0.668 0.155 0.392
O12 O 0.828 0.828 0.895
O13 O 0.834 0.316 0.890
O14 O 0.950 0.502 0.163
O15 O 0.993 0.993 0.185
O16 O 0.993 0.993 0.683
```



(5)
A crystal of Li2MnV4NiO12 relaxed with PBEsol, computed with meta-GGA SCAN.

Computed properties:
Fermi-level density of states: 0.02 states/eV per atom
Raw formation energy: -47.7 eV/f.u.

The structure in CIF format:
```
data_Li2MnV4NiO12
_chemical_formula_sum 'Li2 Mn1 V4 Ni1 O12'
_cell_length_a 6.647
_cell_length_b 6.647
_cell_length_c 5.738
_cell_angle_alpha 106.45
_cell_angle_beta 106.45
_cell_angle_gamma 79.66
_space_group_name_H-M_alt 'P 1'
_space_group_IT_number 1
_space_group_name_Hall 'P 1'
loop_
_atom_site_label
_atom_site_type_symbol
_atom_site_fract_x
_atom_site_fract_y
_atom_site_fract_z
Li1 Li 0.000 0.000 0.000
Li2 Li 0.549 0.451 0.500
Mn1 Mn 0.356 0.644 0.000
V1 V 0.082 0.338 0.482
V2 V 0.473 0.107 0.019
V3 V 0.662 0.918 0.518
V4 V 0.893 0.527 0.981
Ni1 Ni 0.196 0.804 0.500
O1 O 0.068 0.715 0.094
O2 O 0.186 0.088 0.467
O3 O 0.268 0.517 0.590
O4 O 0.285 0.932 0.906
O5 O 0.357 0.354 0.020
O6 O 0.483 0.732 0.410
O7 O 0.595 0.118 0.340
O8 O 0.646 0.643 0.980
O9 O 0.668 0.038 0.842
O10 O 0.882 0.405 0.660
O11 O 0.912 0.814 0.533
O12 O 0.962 0.332 0.158
```



(6)
A crystal of Li2MnNiSb relaxed with PBEsol, computed with meta-GGA SCAN.

Computed properties:
Fermi-level density of states: 0.45 states/eV per atom
Raw formation energy: 0.4 eV/f.u.

The structure in CIF format:
```
data_Li2MnNiSb
_chemical_formula_sum 'Li2 Mn1 Ni1 Sb1'
_cell_length_a 4.373
_cell_length_b 4.373
_cell_length_c 4.638
_cell_angle_alpha 90.00
_cell_angle_beta 90.00
_cell_angle_gamma 90.00
_space_group_name_H-M_alt 'P 1'
_space_group_IT_number 1
_space_group_name_Hall 'P 1'
loop_
_atom_site_label
_atom_site_type_symbol
_atom_site_fract_x
_atom_site_fract_y
_atom_site_fract_z
Li1 Li 0.000 0.500 0.000
Li2 Li 0.500 0.000 0.000
Mn1 Mn 0.000 0.000 0.500
Ni1 Ni 0.500 0.500 0.000
Sb1 Sb 0.500 0.500 0.500
```



(7)
A crystal of LiMn2O3 relaxed with PBEsol, computed with meta-GGA SCAN.

Computed properties:
Fermi-level density of states: 0.37 states/eV per atom
Raw formation energy: -12.6 eV/f.u.

The structure in CIF format:
```
data_LiMn2O3
_chemical_formula_sum 'Li4 Mn8 O12'
_cell_length_a 5.033
_cell_length_b 5.033
_cell_length_c 9.777
_cell_angle_alpha 93.04
_cell_angle_beta 93.04
_cell_angle_gamma 116.22
_space_group_name_H-M_alt 'P 1'
_space_group_IT_number 1
_space_group_name_Hall 'P 1'
loop_
_atom_site_label
_atom_site_type_symbol
_atom_site_fract_x
_atom_site_fract_y
_atom_site_fract_z
Li1 Li 0.081 0.919 0.750
Li2 Li 0.249 0.751 0.250
Li3 Li 0.751 0.249 0.750
Li4 Li 0.919 0.081 0.250
Mn1 Mn 0.000 0.500 0.500
Mn2 Mn 0.162 0.332 0.001
Mn3 Mn 0.332 0.162 0.501
Mn4 Mn 0.417 0.583 0.750
Mn5 Mn 0.500 0.000 0.000
Mn6 Mn 0.583 0.417 0.250
Mn7 Mn 0.668 0.838 0.499
Mn8 Mn 0.838 0.668 0.999
O1 O 0.076 0.241 0.626
O2 O 0.104 0.603 0.878
O3 O 0.241 0.076 0.126
O4 O 0.273 0.437 0.379
O5 O 0.397 0.896 0.622
O6 O 0.437 0.273 0.879
O7 O 0.563 0.727 0.121
O8 O 0.603 0.104 0.378
O9 O 0.727 0.563 0.621
O10 O 0.759 0.924 0.874
O11 O 0.896 0.397 0.122
O12 O 0.924 0.759 0.374
```



(8)
A crystal of LiMn7O12 relaxed with PBEsol, computed with meta-GGA SCAN.

Computed properties:
Fermi-level density of states: 0.22 states/eV per atom
Raw formation energy: -42.9 eV/f.u.

The structure in CIF format:
```
data_LiMn7O12
_chemical_formula_sum 'Li1 Mn7 O12'
_cell_length_a 6.270
_cell_length_b 6.270
_cell_length_c 6.270
_cell_angle_alpha 109.47
_cell_angle_beta 109.47
_cell_angle_gamma 109.47
_space_group_name_H-M_alt 'P 1'
_space_group_IT_number 1
_space_group_name_Hall 'P 1'
loop_
_atom_site_label
_atom_site_type_symbol
_atom_site_fract_x
_atom_site_fract_y
_atom_site_fract_z
Li1 Li 0.000 0.000 0.000
Mn1 Mn 0.000 0.000 0.500
Mn2 Mn 0.000 0.500 0.000
Mn3 Mn 0.000 0.500 0.500
Mn4 Mn 0.500 0.000 0.000
Mn5 Mn 0.500 0.000 0.500
Mn6 Mn 0.500 0.500 0.000
Mn7 Mn 0.500 0.500 0.500
O1 O 0.128 0.310 0.818
O2 O 0.182 0.492 0.310
O3 O 0.182 0.872 0.690
O4 O 0.310 0.182 0.492
O5 O 0.310 0.818 0.128
O6 O 0.492 0.310 0.182
O7 O 0.508 0.690 0.818
O8 O 0.690 0.182 0.872
O9 O 0.690 0.818 0.508
O10 O 0.818 0.128 0.310
O11 O 0.818 0.508 0.690
O12 O 0.872 0.690 0.182
```



Short version: VASP energy = -357.7 -336.3 -157.4 -312.9 -231.6 -76.1 -280.7 -247.8 eV for the cell shown, in the order given.